*i*
The following is a PBE-GGA calculation of a relaxed structure of LaGaSn3, from Alexandria.

Magnetization   0.0 μB per cell

a b c (Å): 6.0347 6.0347 6.0347
angles (deg): 90.00 90.00 90.00
Last column: nearest neighbours and their distance in Å.
Atoms (fractional coordinates):
La1 0.0000 0.0000 0.0000  6 Sn 3.02
Ga1 0.5000 0.5000 0.5000  12 Sn 4.27
Sn1 0.0000 0.0000 0.5000  2 La 3.02
Sn2 0.0000 0.5000 0.0000  2 La 3.02
Sn3 0.5000 0.0000 0.0000  2 La 3.02

*ii*
The following is a PBE-GGA calculation of a relaxed structure of LaGaSn3, from Alexandria.

Magnetization   0.0 μB per cell

a b c (Å): 5.3386 5.3386 5.3386
angles (deg): 90.00 90.00 90.00
Last column: nearest neighbours and their distance in Å.
Atoms (fractional coordinates):
La1 0.0000 0.0000 0.0000  12 Sn 3.77
Ga1 0.5000 0.5000 0.5000  6 Sn 2.67
Sn1 0.0000 0.5000 0.5000  2 Ga 2.67
Sn2 0.5000 0.0000 0.5000  2 Ga 2.67
Sn3 0.5000 0.5000 0.0000  2 Ga 2.67

*iii*
The following is a PBE-GGA calculation of a relaxed structure of LaGaSn3, from Alexandria.

Magnetization   0.0 μB per cell

a b c (Å): 12.8763 6.4133 6.5453
angles (deg): 90.00 90.00 90.00
Last column: nearest neighbours and their distance in Å.
Atoms (fractional coordinates):
La1 0.1972 0.0142 0.2500  9 Sn 3.24-3.45, 2 Ga 3.30
La2 0.1972 0.4858 0.7500  9 Sn 3.24-3.45, 2 Ga 3.30
La3 0.8028 0.5142 0.2500  9 Sn 3.24-3.45, 2 Ga 3.30
La4 0.8028 0.9858 0.7500  9 Sn 3.24-3.45, 2 Ga 3.30
Ga1 0.3860 0.2500 0.0000  6 Sn 2.86-3.12
Ga2 0.3860 0.2500 0.5000  6 Sn 2.86-3.12
Ga3 0.6140 0.7500 0.0000  6 Sn 2.86-3.12
Ga4 0.6140 0.7500 0.5000  6 Sn 2.86-3.12
Sn1 0.0018 0.7500 0.0000  4 Sn 3.21-3.27, 4 La 3.39-3.45
Sn2 0.0018 0.7500 0.5000  4 Sn 3.21-3.27, 4 La 3.39-3.45
Sn3 0.2487 0.5197 0.2500  2 Ga 2.97, 1 Sn 3.23, 2 La 3.24-3.31
Sn4 0.2487 0.9803 0.7500  2 Ga 2.97, 1 Sn 3.23, 2 La 3.24-3.31
Sn5 0.4387 0.6505 0.7500  4 Ga 2.86-3.12
Sn6 0.4387 0.8495 0.2500  4 Ga 2.86-3.12
Sn7 0.5613 0.1505 0.7500  4 Ga 2.86-3.12
Sn8 0.5613 0.3495 0.2500  4 Ga 2.86-3.12
Sn9 0.7513 0.0197 0.2500  2 Ga 2.97, 1 Sn 3.23, 2 La 3.24-3.31
Sn10 0.7513 0.4803 0.7500  2 Ga 2.97, 1 Sn 3.23, 2 La 3.24-3.31
Sn11 0.9982 0.2500 0.0000  4 Sn 3.21-3.27, 4 La 3.39-3.45
Sn12 0.9982 0.2500 0.5000  4 Sn 3.21-3.27, 4 La 3.39-3.45

Stability ranking, top entry: *iii*; the second entry is 351 meV/atom less favorable.

*i*
The following is a PBE-GGA calculation of a relaxed structure of La2GaSn2, from Alexandria.

Magnetization   0.0 μB per cell

a b c (Å): 6.4117 6.4117 11.8538
angles (deg): 114.40 114.40 41.98
Last column: nearest neighbours and their distance in Å.
Atoms (fractional coordinates):
La1 0.0934 0.0934 0.4065  2 Ga 3.08, 3 Sn 3.32-3.35
La2 0.3005 0.3005 0.8481  1 Ga 3.13, 5 Sn 3.28-3.35
La3 0.6995 0.6995 0.1519  1 Ga 3.13, 5 Sn 3.28-3.35
La4 0.9066 0.9066 0.5935  2 Ga 3.08, 3 Sn 3.32-3.35
Ga1 0.4733 0.4733 0.2176  3 Sn 2.76-2.77, 2 La 3.08
Ga2 0.5267 0.5267 0.7824  3 Sn 2.76-2.77, 2 La 3.08
Sn1 0.0688 0.0688 0.9253  2 Ga 2.76, 1 Sn 2.90
Sn2 0.3521 0.3521 0.3695  1 Ga 2.77
Sn3 0.6479 0.6479 0.6305  1 Ga 2.77
Sn4 0.9312 0.9312 0.0747  2 Ga 2.76, 1 Sn 2.90

*ii*
The following is a PBE-GGA calculation of a relaxed structure of La2GaSn2, from Alexandria.

Magnetization   0.0 μB per cell

a b c (Å): 9.4331 9.4331 7.2194
angles (deg): 90.00 90.00 151.61
Last column: nearest neighbours and their distance in Å.
Atoms (fractional coordinates):
La1 0.0154 0.9846 0.5000  5 Sn 3.26-3.37, 4 Ga 3.26-3.61
La2 0.2097 0.7903 0.8048  5 Sn 3.23-3.41
La3 0.7903 0.2097 0.3048  5 Sn 3.23-3.41
La4 0.9846 0.0154 0.0000  5 Sn 3.26-3.37, 4 Ga 3.26-3.61
Ga1 0.4083 0.5917 0.6676  3 Sn 2.79-2.81
Ga2 0.5917 0.4083 0.1676  3 Sn 2.79-2.81
Sn1 0.1678 0.8322 0.2657  2 Ga 2.79
Sn2 0.4140 0.5860 0.2784  1 Ga 2.81
Sn3 0.5860 0.4140 0.7784  1 Ga 2.81
Sn4 0.8322 0.1678 0.7657  2 Ga 2.79

Stability ranking, top entry: *i*; the second entry is 115 meV/atom less favorable.

*i*
The following is a PBE-GGA calculation of a relaxed structure of La3GaSn, from Alexandria.

Magnetization   0.0 μB per cell

a b c (Å): 10.0762 6.6522 11.2188
angles (deg): 90.00 122.46 90.00
Last column: nearest neighbours and their distance in Å.
Atoms (fractional coordinates):
La1 0.0470 0.0191 0.2898  2 Ga 3.04-3.19, 1 La 3.26
La2 0.0470 0.4809 0.7898  2 Ga 3.04-3.19, 1 La 3.26
La3 0.2899 0.1825 0.6795  2 Ga 2.96-3.02
La4 0.2899 0.3175 0.1795  2 Ga 2.96-3.02
La5 0.3859 0.7017 0.9179  2 Ga 2.98-3.09, 1 La 3.26
La6 0.3859 0.7983 0.4179  2 Ga 2.98-3.09, 1 La 3.26
La7 0.6141 0.2017 0.5821  2 Ga 2.98-3.09, 1 La 3.26
La8 0.6141 0.2983 0.0821  2 Ga 2.98-3.09, 1 La 3.26
La9 0.7101 0.6825 0.8205  2 Ga 2.96-3.02
La10 0.7101 0.8175 0.3205  2 Ga 2.96-3.02
La11 0.9530 0.5191 0.2102  2 Ga 3.04-3.19, 1 La 3.26
La12 0.9530 0.9809 0.7102  2 Ga 3.04-3.19, 1 La 3.26
Ga1 0.2819 0.1117 0.9414  6 La 2.96-3.19, 1 Sn 3.07
Ga2 0.2819 0.3883 0.4414  6 La 2.96-3.19, 1 Sn 3.07
Ga3 0.7181 0.6117 0.5586  6 La 2.96-3.19, 1 Sn 3.07
Ga4 0.7181 0.8883 0.0586  6 La 2.96-3.19, 1 Sn 3.07
Sn1 0.1466 0.6842 0.5593  1 Ga 3.07, 1 La 3.41
Sn2 0.1466 0.8158 0.0593  1 Ga 3.07, 1 La 3.41
Sn3 0.8534 0.1842 0.9407  1 Ga 3.07, 1 La 3.41
Sn4 0.8534 0.3158 0.4407  1 Ga 3.07, 1 La 3.41

*ii*
The following is a PBE-GGA calculation of a relaxed structure of La3GaSn, from Alexandria.

Magnetization   0.0 μB per cell

a b c (Å): 5.8948 5.8948 5.8948
angles (deg): 90.00 90.00 90.00
Last column: nearest neighbours and their distance in Å.
Atoms (fractional coordinates):
La1 0.0000 0.0000 0.5000  2 Ga 2.95
La2 0.0000 0.5000 0.0000  2 Ga 2.95
La3 0.5000 0.0000 0.0000  2 Ga 2.95
Ga1 0.0000 0.0000 0.0000  6 La 2.95
Sn1 0.5000 0.5000 0.5000  12 La 4.17

Stability ranking, top entry: *i*; the second entry is 212 meV/atom less favorable.

*i*
The following is a PBE-GGA calculation of a relaxed structure of LaTbGaSn, from Alexandria.

Magnetization   0.0 μB per cell

a b c (Å): 7.5821 7.5821 7.5821
angles (deg): 90.00 90.00 90.00
Last column: nearest neighbours and their distance in Å.
Atoms (fractional coordinates):
La1 0.0000 0.0000 0.0000  4 Sn 3.28, 4 Ga 3.28
La2 0.0000 0.5000 0.5000  4 Sn 3.28, 4 Ga 3.28
La3 0.5000 0.0000 0.5000  4 Sn 3.28, 4 Ga 3.28
La4 0.5000 0.5000 0.0000  4 Sn 3.28, 4 Ga 3.28
Tb1 0.0000 0.0000 0.5000  4 Sn 3.28, 4 Ga 3.28
Tb2 0.0000 0.5000 0.0000  4 Sn 3.28, 4 Ga 3.28
Tb3 0.5000 0.0000 0.0000  4 Sn 3.28, 4 Ga 3.28
Tb4 0.5000 0.5000 0.5000  4 Sn 3.28, 4 Ga 3.28
Ga1 0.2500 0.2500 0.7500  4 Tb 3.28, 4 La 3.28
Ga2 0.2500 0.7500 0.2500  4 Tb 3.28, 4 La 3.28
Ga3 0.7500 0.2500 0.2500  4 Tb 3.28, 4 La 3.28
Ga4 0.7500 0.7500 0.7500  4 Tb 3.28, 4 La 3.28
Sn1 0.2500 0.2500 0.2500  4 Tb 3.28, 4 La 3.28
Sn2 0.2500 0.7500 0.7500  4 Tb 3.28, 4 La 3.28
Sn3 0.7500 0.2500 0.7500  4 Tb 3.28, 4 La 3.28
Sn4 0.7500 0.7500 0.2500  4 Tb 3.28, 4 La 3.28

*ii*
The following is a PBE-GGA calculation of a relaxed structure of LaTbGaSn, from Alexandria.

Magnetization   0.2 μB per cell

a b c (Å): 4.2493 4.6055 11.5593
angles (deg): 90.00 90.00 90.00
Last column: nearest neighbours and their distance in Å.
Atoms (fractional coordinates):
La1 0.0000 0.0000 0.0000  4 Ga 3.20, 3 Sn 3.26-3.41
La2 0.0000 0.5000 0.5000  4 Ga 3.20, 3 Sn 3.26-3.41
Tb1 0.5000 0.0000 0.2782  4 Sn 3.21, 3 Ga 3.23-3.43
Tb2 0.5000 0.5000 0.7782  4 Sn 3.21, 3 Ga 3.23-3.43
Ga1 0.5000 0.0000 0.5578  2 Sn 2.81
Ga2 0.5000 0.5000 0.0578  2 Sn 2.81
Sn1 0.0000 0.0000 0.7175  2 Ga 2.81
Sn2 0.0000 0.5000 0.2175  2 Ga 2.81

Stability ranking, top entry: *ii*; the second entry is 116 meV/atom less favorable.

*i*
The following is a PBE-GGA calculation of a relaxed structure of SrLa2Ga, from Alexandria.

Magnetization   0.4 μB per cell

a b c (Å): 3.8496 3.8496 9.9074
angles (deg): 90.00 90.00 90.00
Last column: nearest neighbours and their distance in Å.
Atoms (fractional coordinates):
Sr1 0.0000 0.0000 0.0000  4 Sr 3.85, 8 La 4.23
La1 0.5000 0.5000 0.3270  4 Ga 3.22, 1 La 3.43
La2 0.5000 0.5000 0.6730  4 Ga 3.22, 1 La 3.43
Ga1 0.0000 0.0000 0.5000  8 La 3.22

*ii*
The following is a PBE-GGA calculation of a relaxed structure of SrLa2Ga, from Alexandria.

Magnetization   1.1 μB per cell

a b c (Å): 4.7919 4.7919 24.5910
angles (deg): 90.00 90.00 120.00
Last column: nearest neighbours and their distance in Å.
Atoms (fractional coordinates):
Sr1 0.0000 0.0000 0.0000  6 La 3.91-3.93, 1 Ga 4.07
Sr2 0.3333 0.6667 0.6667  6 La 3.91-3.93, 1 Ga 4.07
Sr3 0.6667 0.3333 0.3333  6 La 3.91-3.93, 1 Ga 4.07
La1 0.0000 0.0000 0.2197  3 Ga 3.04
La2 0.0000 0.0000 0.4456  3 Ga 3.09
La3 0.3333 0.6667 0.1123  3 Ga 3.09
La4 0.3333 0.6667 0.8864  3 Ga 3.04
La5 0.6667 0.3333 0.5530  3 Ga 3.04
La6 0.6667 0.3333 0.7789  3 Ga 3.09
Ga1 0.0000 0.0000 0.8347  6 La 3.04-3.09
Ga2 0.3333 0.6667 0.5013  6 La 3.04-3.09
Ga3 0.6667 0.3333 0.1680  6 La 3.04-3.09

*iii*
The following is a PBE-GGA calculation of a relaxed structure of SrLa2Ga, from Alexandria.

Magnetization   0.0 μB per cell

a b c (Å): 3.9383 3.9383 34.1404
angles (deg): 90.00 90.00 120.00
Last column: nearest neighbours and their distance in Å.
Atoms (fractional coordinates):
Sr1 0.0000 0.0000 0.0000  6 Sr 3.94, 6 La 4.22
Sr2 0.3333 0.6667 0.6667  6 Sr 3.94, 6 La 4.22
Sr3 0.6667 0.3333 0.3333  6 Sr 3.94, 6 La 4.22
La1 0.0000 0.0000 0.2291  3 Ga 3.12
La2 0.0000 0.0000 0.7709  3 Ga 3.12
La3 0.3333 0.6667 0.4376  3 Ga 3.12
La4 0.3333 0.6667 0.8957  3 Ga 3.12
La5 0.6667 0.3333 0.1043  3 Ga 3.12
La6 0.6667 0.3333 0.5624  3 Ga 3.12
Ga1 0.0000 0.0000 0.5000  6 La 3.12
Ga2 0.3333 0.6667 0.1667  6 La 3.12
Ga3 0.6667 0.3333 0.8333  6 La 3.12

Stability ranking, top entry: *i*; the second entry is 95 meV/atom less favorable.